Entry 1:
Entry from Alexandria: CdH2F at its PBEsol-relaxed geometry (SCAN).

Cell and atoms, written as extended XYZ:
```
8
Lattice="-1.672 1.672 7.466 1.672 -1.672 7.466 1.672 1.672 -7.466" Properties=species:S:1:pos:R:3 pbc="T T T"
Cd 1.672 0.836 1.866
Cd 0.000 0.836 5.599
H 1.672 0.000 0.000
H -0.836 0.836 3.733
H 0.000 0.000 7.466
H 0.836 0.836 3.733
F 1.672 -0.836 5.599
F 0.000 2.508 1.866
```

Summary:
SG: I4_1/amd (141)
Size of the total moment in μB per formula unit: 0.00
Uncorrected energy in eV per atom: -10.54
Density in kg/m3: 5307

=====

Entry 2:
Entry from Alexandria: BeNi3Ru at its PBEsol-relaxed geometry (SCAN).

Cell and atoms, written as extended XYZ:
```
5
Lattice="4.357 0.000 0.000 0.000 4.357 0.000 0.000 0.000 4.357" Properties=species:S:1:pos:R:3 pbc="T T T"
Be 0.000 0.000 0.000
Ni 0.000 2.178 2.178
Ni 2.178 0.000 2.178
Ni 2.178 2.178 0.000
Ru 2.178 2.178 2.178
```

Summary:
SG: Pm-3m (221)
Size of the total moment in μB per formula unit: 3.16
ΔE_f in meV per atom: 1703.4
Uncorrected energy in eV per atom: -15.84
Density in kg/m3: 5746